[1]
# ZrC, optimized geometry, DFT PBE-GGA
# DFT total energy: -8.926 eV per atom
# Space-group type: R-3m, No. 166
# D(E_F): 2.41 states/eV/cell
# Relative energy among the computed polymorphs: 767 meV per atom
data_ZrC
_chemical_formula_sum 'Zr2 C2'
_symmetry_space_group_name_H-M 'P 1'
_symmetry_Int_Tables_number 1
_symmetry_space_group_name_Hall 'P 1'
_cell_length_a 4.6732
_cell_length_b 4.6732
_cell_length_c 4.6732
_cell_angle_alpha 51.81
_cell_angle_beta 51.81
_cell_angle_gamma 51.81
loop_
_atom_site_label
_atom_site_type_symbol
_atom_site_fract_x
_atom_site_fract_y
_atom_site_fract_z
Zr1 Zr 0.2428 0.2428 0.2428
Zr2 Zr 0.7572 0.7572 0.7572
C1 C 0.0597 0.0597 0.0597
C2 C 0.9403 0.9403 0.9403


[2]
# Pu3InPd3, optimized geometry, DFT PBE-GGA
# DFT total energy: -9.118 eV per atom
# Space-group type: P2_13, No. 198
# D(E_F): 116.19 states/eV/cell
# Relative energy among the computed polymorphs: 0 meV per atom
data_Pu3InPd3
_chemical_formula_sum 'Pu12 In4 Pd12'
_symmetry_space_group_name_H-M 'P 1'
_symmetry_Int_Tables_number 1
_symmetry_space_group_name_Hall 'P 1'
_cell_length_a 8.5515
_cell_length_b 8.5515
_cell_length_c 8.5515
_cell_angle_alpha 90.00
_cell_angle_beta 90.00
_cell_angle_gamma 90.00
loop_
_atom_site_label
_atom_site_type_symbol
_atom_site_fract_x
_atom_site_fract_y
_atom_site_fract_z
Pu1 Pu 0.0457 0.4543 0.5457
Pu2 Pu 0.1371 0.8629 0.3629
Pu3 Pu 0.1946 0.1946 0.1946
Pu4 Pu 0.3054 0.8054 0.6946
Pu5 Pu 0.3629 0.1371 0.8629
Pu6 Pu 0.4543 0.5457 0.0457
Pu7 Pu 0.5457 0.0457 0.4543
Pu8 Pu 0.6371 0.6371 0.6371
Pu9 Pu 0.6946 0.3054 0.8054
Pu10 Pu 0.8054 0.6946 0.3054
Pu11 Pu 0.8629 0.3629 0.1371
Pu12 Pu 0.9543 0.9543 0.9543
In1 In 0.0824 0.5824 0.9176
In2 In 0.4176 0.4176 0.4176
In3 In 0.5824 0.9176 0.0824
In4 In 0.9176 0.0824 0.5824
Pd1 Pd 0.0452 0.2645 0.8418
Pd2 Pd 0.1582 0.5452 0.2355
Pd3 Pd 0.2355 0.1582 0.5452
Pd4 Pd 0.2645 0.8418 0.0452
Pd5 Pd 0.3418 0.4548 0.7355
Pd6 Pd 0.4548 0.7355 0.3418
Pd7 Pd 0.5452 0.2355 0.1582
Pd8 Pd 0.6582 0.9548 0.7645
Pd9 Pd 0.7355 0.3418 0.4548
Pd10 Pd 0.7645 0.6582 0.9548
Pd11 Pd 0.8418 0.0452 0.2645
Pd12 Pd 0.9548 0.7645 0.6582


[3]
# MgCd2Mo, optimized geometry, DFT PBE-GGA
# DFT total energy: -3.324 eV per atom
# Space-group type: C2/m, No. 12
# D(E_F): 0.78 states/eV/cell
data_MgCd2Mo
_chemical_formula_sum 'Mg1 Cd2 Mo1'
_symmetry_space_group_name_H-M 'P 1'
_symmetry_Int_Tables_number 1
_symmetry_space_group_name_Hall 'P 1'
_cell_length_a 5.2405
_cell_length_b 5.2405
_cell_length_c 2.9451
_cell_angle_alpha 90.14
_cell_angle_beta 90.14
_cell_angle_gamma 111.46
loop_
_atom_site_label
_atom_site_type_symbol
_atom_site_fract_x
_atom_site_fract_y
_atom_site_fract_z
Mg1 Mg 0.0000 0.0000 0.0000
Cd1 Cd 0.0000 0.5000 0.5000
Cd2 Cd 0.5000 0.0000 0.5000
Mo1 Mo 0.5000 0.5000 0.0000


[4]
# ZnCoIr2, optimized geometry, DFT PBE-GGA
# DFT total energy: -6.447 eV per atom
# Space-group type: P4/mmm, No. 123
# D(E_F): 6.37 states/eV/cell
data_ZnCoIr2
_chemical_formula_sum 'Zn1 Co1 Ir2'
_symmetry_space_group_name_H-M 'P 1'
_symmetry_Int_Tables_number 1
_symmetry_space_group_name_Hall 'P 1'
_cell_length_a 3.8660
_cell_length_b 3.8660
_cell_length_c 3.6064
_cell_angle_alpha 90.00
_cell_angle_beta 90.00
_cell_angle_gamma 90.00
loop_
_atom_site_label
_atom_site_type_symbol
_atom_site_fract_x
_atom_site_fract_y
_atom_site_fract_z
Zn1 Zn 0.0000 0.0000 0.0000
Co1 Co 0.5000 0.5000 0.0000
Ir1 Ir 0.0000 0.5000 0.5000
Ir2 Ir 0.5000 0.0000 0.5000


[5]
# RuRhAu, optimized geometry, DFT PBE-GGA
# DFT total energy: -6.239 eV per atom
# Space-group type: P-6m2, No. 187
# D(E_F): 4.38 states/eV/cell
# Relative energy among the computed polymorphs: 219 meV per atom
data_RuRhAu
_chemical_formula_sum 'Ru1 Rh1 Au1'
_symmetry_space_group_name_H-M 'P 1'
_symmetry_Int_Tables_number 1
_symmetry_space_group_name_Hall 'P 1'
_cell_length_a 4.4616
_cell_length_b 4.4616
_cell_length_c 2.7248
_cell_angle_alpha 90.00
_cell_angle_beta 90.00
_cell_angle_gamma 120.00
loop_
_atom_site_label
_atom_site_type_symbol
_atom_site_fract_x
_atom_site_fract_y
_atom_site_fract_z
Ru1 Ru 0.0000 0.0000 0.0000
Rh1 Rh 0.6667 0.3333 0.0000
Au1 Au 0.3333 0.6667 0.5000


[6]
# LaHfRe2, optimized geometry, DFT PBE-GGA
# DFT total energy: -9.086 eV per atom
# Space-group type: I-42d, No. 122
# D(E_F): 9.04 states/eV/cell
# Relative energy among the computed polymorphs: 544 meV per atom
data_LaHfRe2
_chemical_formula_sum 'La2 Hf2 Re4'
_symmetry_space_group_name_H-M 'P 1'
_symmetry_Int_Tables_number 1
_symmetry_space_group_name_Hall 'P 1'
_cell_length_a 6.1325
_cell_length_b 6.1325
_cell_length_c 6.1325
_cell_angle_alpha 102.55
_cell_angle_beta 102.55
_cell_angle_gamma 124.44
loop_
_atom_site_label
_atom_site_type_symbol
_atom_site_fract_x
_atom_site_fract_y
_atom_site_fract_z
La1 La 0.0000 0.0000 0.0000
La2 La 0.7500 0.2500 0.5000
Hf1 Hf 0.2500 0.7500 0.5000
Hf2 Hf 0.5000 0.5000 0.0000
Re1 Re 0.1428 0.6250 0.0178
Re2 Re 0.3750 0.3928 0.5178
Re3 Re 0.6072 0.1250 0.9822
Re4 Re 0.8750 0.8572 0.4822


- Which formula does entry 1 have?
  ZrC